(1)
Material: PrAl2GaPt2
Method: DFT, PBE-GGA
State: optimized geometry Values from VASP.

The space group is P4/mmm.

Quantum ESPRESSO input file:
```
&SYSTEM
  ibrav = 0, nat = 6, ntyp = 4
/
ATOMIC_SPECIES
Pr 140.91 Pr.upf
Al 26.98 Al.upf
Ga 69.72 Ga.upf
Pt 195.08 Pt.upf
ATOMIC_POSITIONS crystal
Pr 0.000 0.000 0.000
Al 0.500 0.500 0.248
Al 0.500 0.500 0.752
Ga 0.000 0.000 0.500
Pt 0.000 0.500 0.500
Pt 0.500 0.000 0.500
CELL_PARAMETERS angstrom
4.696 0.000 0.000
0.000 4.696 0.000
0.000 0.000 5.671
```


(2)
Material: Pr2AlGaPt6
Method: DFT, PBE-GGA
State: optimized geometry Values from VASP.

The space group is R-3m.

Quantum ESPRESSO input file:
```
&SYSTEM
  ibrav = 0, nat = 10, ntyp = 4
/
ATOMIC_SPECIES
Pr 140.91 Pr.upf
Al 26.98 Al.upf
Ga 69.72 Ga.upf
Pt 195.08 Pt.upf
ATOMIC_POSITIONS crystal
Pr 0.206 0.206 0.206
Pr 0.794 0.794 0.794
Al 0.500 0.500 0.500
Ga 0.000 0.000 0.000
Pt 0.252 0.252 0.748
Pt 0.252 0.748 0.252
Pt 0.252 0.748 0.748
Pt 0.748 0.252 0.252
Pt 0.748 0.252 0.748
Pt 0.748 0.748 0.252
CELL_PARAMETERS angstrom
2.853 1.647 7.689
-2.853 1.647 7.689
0.000 -3.294 7.689
```


(3)
Material: PrAlGa2Pt4
Method: DFT, PBE-GGA
State: optimized geometry Values from VASP.

The space group is R-3m.

Quantum ESPRESSO input file:
```
&SYSTEM
  ibrav = 0, nat = 8, ntyp = 4
/
ATOMIC_SPECIES
Pr 140.91 Pr.upf
Al 26.98 Al.upf
Ga 69.72 Ga.upf
Pt 195.08 Pt.upf
ATOMIC_POSITIONS crystal
Pr 0.000 0.000 0.000
Al 0.500 0.500 0.500
Ga 0.245 0.245 0.245
Ga 0.755 0.755 0.755
Pt 0.137 0.137 0.137
Pt 0.405 0.405 0.405
Pt 0.595 0.595 0.595
Pt 0.863 0.863 0.863
CELL_PARAMETERS angstrom
2.167 1.251 8.807
-2.167 1.251 8.807
0.000 -2.502 8.807
```


(4)
Material: Pr2AlGa4Pt3
Method: DFT, PBE-GGA
State: optimized geometry Values from VASP.

The space group is P-4m2.

Quantum ESPRESSO input file:
```
&SYSTEM
  ibrav = 0, nat = 10, ntyp = 4
/
ATOMIC_SPECIES
Pr 140.91 Pr.upf
Al 26.98 Al.upf
Ga 69.72 Ga.upf
Pt 195.08 Pt.upf
ATOMIC_POSITIONS crystal
Pr 0.000 0.500 0.245
Pr 0.500 0.000 0.755
Al 0.000 0.000 0.500
Ga 0.000 0.000 0.000
Ga 0.000 0.500 0.639
Ga 0.500 0.000 0.361
Ga 0.500 0.500 0.000
Pt 0.000 0.500 0.870
Pt 0.500 0.000 0.130
Pt 0.500 0.500 0.500
CELL_PARAMETERS angstrom
4.275 0.000 0.000
0.000 4.275 0.000
0.000 0.000 10.773
```


(5)
Material: Pr2AlGa6Pt
Method: DFT, PBE-GGA
State: optimized geometry Values from VASP.

The space group is R-3m.

Quantum ESPRESSO input file:
```
&SYSTEM
  ibrav = 0, nat = 20, ntyp = 4
/
ATOMIC_SPECIES
Pr 140.91 Pr.upf
Al 26.98 Al.upf
Ga 69.72 Ga.upf
Pt 195.08 Pt.upf
ATOMIC_POSITIONS crystal
Pr 0.116 0.116 0.116
Pr 0.298 0.298 0.298
Pr 0.702 0.702 0.702
Pr 0.884 0.884 0.884
Al 0.000 0.000 0.000
Al 0.500 0.500 0.500
Ga 0.049 0.664 0.664
Ga 0.229 0.229 0.671
Ga 0.229 0.671 0.229
Ga 0.329 0.771 0.771
Ga 0.336 0.336 0.951
Ga 0.336 0.951 0.336
Ga 0.664 0.049 0.664
Ga 0.664 0.664 0.049
Ga 0.671 0.229 0.229
Ga 0.771 0.329 0.771
Ga 0.771 0.771 0.329
Ga 0.951 0.336 0.336
Pt 0.432 0.432 0.432
Pt 0.568 0.568 0.568
CELL_PARAMETERS angstrom
3.221 1.860 12.020
-3.221 1.860 12.020
0.000 -3.719 12.020
```


(6)
Material: PrAlGaPt3
Method: DFT, PBE-GGA
State: optimized geometry Values from VASP.

The space group is Cmcm.

Quantum ESPRESSO input file:
```
&SYSTEM
  ibrav = 0, nat = 12, ntyp = 4
/
ATOMIC_SPECIES
Pr 140.91 Pr.upf
Al 26.98 Al.upf
Ga 69.72 Ga.upf
Pt 195.08 Pt.upf
ATOMIC_POSITIONS crystal
Pr 0.210 0.790 0.750
Pr 0.790 0.210 0.250
Al 0.466 0.534 0.750
Al 0.534 0.466 0.250
Ga 0.131 0.869 0.250
Ga 0.869 0.131 0.750
Pt 0.208 0.208 0.000
Pt 0.208 0.208 0.500
Pt 0.329 0.671 0.250
Pt 0.671 0.329 0.750
Pt 0.792 0.792 0.000
Pt 0.792 0.792 0.500
CELL_PARAMETERS angstrom
3.386 -6.214 0.000
3.386 6.214 0.000
0.000 0.000 5.660
```


| no. | energy of formation from the pure elements (eV/atom) | raw total energy (eV per formula unit) | volume (Å³/atom) |
| --- | --- | --- | --- |
| 1 | -0.54 | -30.622 | 20.84 |
| 2 | -0.83 | -60.916 | 21.67 |
| 3 | -0.92 | -46.075 | 17.91 |
| 4 | -0.89 | -52.459 | 19.69 |
| 5 | -0.43 | -41.779 | 21.60 |
| 6 | -0.81 | -34.527 | 19.85 |